1.
Computed, not measured: Ti2Sb2I after structural relaxation at the PBE level of DFT.

Structure (extended XYZ):
```
10
Lattice="-0.435 -4.238 6.733 1.835 -6.614 -4.045 3.481 0.598 0.601" Properties=species:S:1:pos:R:3 pbc="T T T"
I 0.000 0.000 0.000
I 0.700 -5.426 1.344
Sb 2.855 -4.540 -1.343
Sb 3.037 -8.099 1.143
Sb 2.025 -5.714 4.631
Sb 1.843 -2.155 2.146
Ti 1.416 -7.172 -1.065
Ti 0.809 -7.887 3.160
Ti -0.016 -3.679 3.753
Ti 0.591 -2.965 -0.473
```

**M_tot**: 0.00 μB per formula unit
**Calculated volume**: 22.7 A^3/atom
**E_tot**: -26.94 eV/f.u.
**Density of states at the Fermi level**: 7.4 states/eV/cell
**Formation energy without anion corrections**: -26.2 kJ per mole of atoms
**Crystal system**: tetragonal

---

2.
Computed, not measured: Sc3TaTl after structural relaxation at the PBE level of DFT.

Structure (extended XYZ):
```
5
Lattice="5.256 0.000 0.000 0.000 5.256 0.000 0.000 0.000 5.256" Properties=species:S:1:pos:R:3 pbc="T T T"
Sc 0.000 2.628 0.000
Sc 0.000 0.000 2.628
Sc 2.628 0.000 0.000
Tl 0.000 0.000 0.000
Ta 2.628 2.628 2.628
```

**Excess energy over the best structure of this formula in the dataset**: 2.65 eV per formula unit
**M_tot**: 3.67 μB per formula unit
**Energy relative to the elements**: 560 kJ/mol of formula units
**Calculated volume**: 29.0 A^3/atom
**E_tot**: -27.41 eV/f.u.
**Density of states at the Fermi level**: 7.2 states/eV/cell
**Crystal system**: cubic

---

3.
Computed, not measured: Pm8Pr6Y after structural relaxation at the PBE level of DFT.

Structure (extended XYZ):
```
15
Lattice="-5.411 3.848 -1.050 3.577 2.712 -8.491 -5.631 -7.759 0.582" Properties=species:S:1:pos:R:3 pbc="T T T"
Pm -6.009 1.121 -0.959
Pm -6.169 -0.630 -6.551
Pm -9.098 -3.631 -2.455
Pm -1.457 -2.319 -8.000
Pm -1.297 -0.568 -2.409
Pm 1.632 2.433 -6.504
Pm -7.373 -0.847 -3.376
Pm -0.093 -0.351 -5.583
Pr -1.715 3.664 -6.185
Pr -3.502 0.616 -8.143
Pr -3.991 1.017 -4.154
Pr -5.751 -4.862 -2.774
Pr -3.964 -1.815 -0.816
Pr -3.474 -2.215 -4.805
Y -2.706 1.924 -0.525
```

**Excess energy over the best structure of this formula in the dataset**: 0.72 eV per formula unit
**M_tot**: 0.00 μB per formula unit
**Energy relative to the elements**: 229 kJ/mol of formula units
**Calculated volume**: 35.8 A^3/atom
**E_tot**: -70.77 eV/f.u.
**Density of states at the Fermi level**: 21.8 states/eV/cell
**Crystal system**: trigonal

---

4.
Computed, not measured: NdH4IrPd2 after structural relaxation at the PBE level of DFT.

Structure (extended XYZ):
```
8
Lattice="-5.027 -1.903 -0.323 0.062 -4.422 3.030 1.681 4.869 1.153" Properties=species:S:1:pos:R:3 pbc="T T T"
Nd -3.312 0.746 2.332
H -1.746 -1.027 2.392
H -3.723 -1.720 1.184
H -1.741 -3.534 3.095
H 0.883 -1.436 3.516
Ir -2.894 -2.295 2.625
Pd -0.769 -0.511 4.004
Pd -0.398 0.855 1.262
```

**M_tot**: 0.00 μB per formula unit
**Calculated volume**: 11.0 A^3/atom
**E_tot**: -40.24 eV/f.u.
**Density of states at the Fermi level**: 1.5 states/eV/cell
**Crystal system**: triclinic

---

5.
Computed, not measured: NaInHg2H after structural relaxation at the PBE level of DFT.

Structure (extended XYZ):
```
5
Lattice="5.836 0.000 0.000 0.000 5.836 0.000 0.000 0.000 3.819" Properties=species:S:1:pos:R:3 pbc="T T T"
Na 2.918 2.918 1.910
Hg 0.000 2.918 0.000
Hg 2.918 0.000 0.000
H 0.000 0.000 1.910
In 0.000 0.000 0.000
```

**Excess energy over the best structure of this formula in the dataset**: 0.00 eV per formula unit
**M_tot**: 0.00 μB per formula unit
**Calculated volume**: 26.0 A^3/atom
**E_tot**: -7.65 eV/f.u.
**Density of states at the Fermi level**: 2.1 states/eV/cell
**Crystal system**: tetragonal

---

6.
Computed, not measured: CdCuOs2 after structural relaxation at the PBE level of DFT.

Structure (extended XYZ):
```
4
Lattice="-1.660 -1.928 1.019 2.611 -0.676 -0.489 2.312 2.620 8.722" Properties=species:S:1:pos:R:3 pbc="T T T"
Cd 1.173 1.329 4.425
Cu 2.237 0.695 6.914
Os 2.310 2.618 8.715
Os 1.010 -0.696 2.283
```

**M_tot**: 0.66 μB per formula unit
**Energy relative to the elements**: 211 kJ/mol of formula units
**Calculated volume**: 15.6 A^3/atom
**E_tot**: -25.29 eV/f.u.
**Density of states at the Fermi level**: 4.3 states/eV/cell
**Crystal system**: orthorhombic

---

7.
Computed, not measured: SrTcBr after structural relaxation at the PBE level of DFT.

Structure (extended XYZ):
```
3
Lattice="3.734 0.000 0.000 -1.867 3.234 0.000 0.000 0.000 6.835" Properties=species:S:1:pos:R:3 pbc="T T T"
Sr 1.867 1.078 2.242
Tc 0.000 2.156 4.666
Br 0.000 0.000 6.761
```

**Excess energy over the best structure of this formula in the dataset**: 0.32 eV per formula unit
**M_tot**: 2.91 μB per formula unit
**Calculated volume**: 27.5 A^3/atom
**E_tot**: -12.42 eV/f.u.
**Density of states at the Fermi level**: 3.1 states/eV/cell
**Formation energy without anion corrections**: 41.9 kJ per mole of atoms
**Crystal system**: trigonal

---

8.
Computed, not measured: PmGdGa after structural relaxation at the PBE level of DFT.

Structure (extended XYZ):
```
3
Lattice="-1.042 3.167 1.720 -4.614 -0.497 -1.880 1.130 -2.036 4.433" Properties=species:S:1:pos:R:3 pbc="T T T"
Gd -3.327 0.899 1.261
Ga -1.151 -0.410 2.933
Pm -0.048 0.146 0.079
```

**Excess energy over the best structure of this formula in the dataset**: 0.25 eV per formula unit
**M_tot**: 7.17 μB per formula unit
**Energy relative to the elements**: -80 kJ/mol of formula units
**Calculated volume**: 27.2 A^3/atom
**E_tot**: -22.69 eV/f.u.
**Density of states at the Fermi level**: 2.1 states/eV/cell
**Crystal system**: trigonal